Entry from Alexandria via LeMat-Bulk: a geometry-optimized Tb8Si3HSe4 structure (PBE).

Values from the calculation:
Final energy, eV/atom: -5.65
Magnetization, μB per cell: 0.0

Cell: 8.210 8.210 8.210 Å, 59.45 59.45 59.45°
Fractional positions:
Tb (0.240, 0.749, 0.749)
Tb (0.246, 0.246, 0.246)
Tb (0.251, 0.251, 0.760)
Tb (0.251, 0.760, 0.251)
Tb (0.749, 0.240, 0.749)
Tb (0.749, 0.749, 0.240)
Tb (0.754, 0.754, 0.754)
Tb (0.760, 0.251, 0.251)
Si (0.000, 0.000, 0.500)
Si (0.000, 0.500, 0.000)
Si (0.500, 0.000, 0.000)
H (0.500, 0.500, 0.500)
Se (0.000, 0.000, 0.000)
Se (0.000, 0.500, 0.500)
Se (0.500, 0.000, 0.500)
Se (0.500, 0.500, 0.000)


Entry from Alexandria via LeMat-Bulk: a geometry-optimized TeAsPdN2 structure (PBE).

Values from the calculation:
Final energy, eV/atom: -4.70
E_form (uncorrected), meV per atom: 1228
Magnetization, μB per cell: 0.9
Energy above the most stable polymorph in this dataset, meV per atom: 0

Cell: 3.727 3.727 6.988 Å, 90.00 90.00 90.00°
Fractional positions:
Te (0.000, 0.000, 0.000)
As (0.000, 0.000, 0.500)
Pd (0.500, 0.500, 0.000)
N (0.000, 0.500, 0.500)
N (0.500, 0.000, 0.500)


Entry from Alexandria via LeMat-Bulk: a geometry-optimized DyEr4Pu structure (PBE).

Values from the calculation:
Final energy, eV/atom: -6.14
DFT formation energy, meV per atom: 60.5
Magnetization, μB per cell: 12.6
Energy above the most stable polymorph in this dataset, meV per atom: 0

Cell: 11.605 3.472 9.888 Å, 90.00 115.38 90.00°
Fractional positions:
Dy (0.000, 0.000, 0.000)
Dy (0.500, 0.500, 0.000)
Er (0.165, 0.500, 0.337)
Er (0.166, 0.500, 0.829)
Er (0.334, 0.000, 0.171)
Er (0.335, 0.000, 0.663)
Er (0.665, 0.000, 0.337)
Er (0.666, 0.000, 0.829)
Er (0.834, 0.500, 0.171)
Er (0.835, 0.500, 0.663)
Pu (0.000, 0.000, 0.500)
Pu (0.500, 0.500, 0.500)


Entry from Alexandria via LeMat-Bulk: a geometry-optimized ZrMoPt structure (PBE).

Values from the calculation:
Final energy, eV/atom: -8.70
DFT formation energy, meV per atom: -226.1
Magnetization, μB per cell: 0.0
Energy above the most stable polymorph in this dataset, meV per atom: 296

Cell: 2.952 3.783 9.573 Å, 90.00 90.00 90.00°
Fractional positions:
Zr (0.000, 0.000, 0.000)
Zr (0.500, 0.500, 0.500)
Mo (0.000, 0.000, 0.676)
Mo (0.500, 0.500, 0.176)
Pt (0.000, 0.000, 0.325)
Pt (0.500, 0.500, 0.825)